*A*
VRuSe2 | PBE | optimized geometry

Summary:
The calculation puts the spin magnetization at 0.00 μB/cell.

The structure in POSCAR format:
```
VRuSe2
1.0
-0.4113 -3.1191 2.9656
-1.9490 -3.7877 -4.1505
6.1768 -2.8147 -1.8665
V Se Ru
2 4 2
direct
0.7157 0.7155 0.0962 V
0.2240 0.0488 0.0157 V
0.9488 0.9345 0.3235 Se
0.9177 0.3079 0.7955 Se
0.4270 0.4574 0.3303 Se
0.4332 0.8148 0.7904 Se
0.6465 0.2118 0.1118 Ru
0.1498 0.5382 0.0170 Ru
```


*B*
VRuSe2 | PBE | optimized geometry

Summary:
The calculation puts the spin magnetization at 0.00 μB/cell.

The structure in POSCAR format:
```
VRuSe2
1.0
-6.4921 -2.7828 0.1059
1.1150 -2.5352 1.7331
1.6824 4.8627 6.0310
Se Ru V
4 2 2
direct
0.9274 0.5000 0.1681 Se
0.4913 0.0000 0.2255 Se
0.4657 0.0000 0.7137 Se
0.8771 0.5000 0.6712 Se
0.5305 0.5000 0.9691 Ru
0.1745 0.0000 0.8160 Ru
0.8402 0.0000 0.9081 V
0.2027 0.5000 0.0479 V
```


*C*
VRuSe2 | PBE | optimized geometry

Summary:
The calculation puts the spin magnetization at 2.68 μB/cell.

The structure in POSCAR format:
```
VRuSe2
1.0
2.0127 0.0000 7.9235
-1.0063 1.7430 7.9235
-1.0063 -1.7430 7.9235
V Se Ru
1 2 1
direct
0.0000 0.0000 0.0000 V
0.1039 0.1039 0.1039 Se
0.8961 0.8961 0.8961 Se
0.5000 0.5000 0.5000 Ru
```


Quick look at relative energies in kJ/mol of atoms: *A* 2.5; *B* 0.0; *C* 64.0.


*A*
VRuSe4 | PBE | optimized geometry

Summary:
The calculation puts the spin magnetization at 0.00 μB/cell.

The structure in POSCAR format:
```
VRuSe4
1.0
-1.3450 -0.6224 -3.0736
-3.8221 -3.4293 2.3671
-8.5078 10.1234 1.6730
Se Ru V
8 2 2
direct
0.5000 0.8337 0.1201 Se
0.0000 0.6688 0.8804 Se
0.0000 0.3337 0.6201 Se
0.0000 0.3312 0.1196 Se
0.5000 0.1663 0.8799 Se
0.0000 0.6663 0.3799 Se
0.5000 0.1688 0.3803 Se
0.5000 0.8312 0.6197 Se
0.5000 0.5000 0.0000 Ru
0.0000 0.0000 0.5000 Ru
0.5000 0.5000 0.5000 V
0.0000 0.0000 0.0000 V
```


*B*
VRuSe4 | PBE | optimized geometry

Summary:
The calculation puts the spin magnetization at 0.83 μB/cell.

The structure in POSCAR format:
```
VRuSe4
1.0
-2.3771 -1.8492 -1.3743
3.5834 2.6330 -5.7523
3.1076 -4.8466 1.1468
Se Ru V
4 1 1
direct
0.5968 0.1936 0.8743 Se
0.3728 0.7456 0.1045 Se
0.1278 0.2556 0.3823 Se
0.9026 0.8053 0.6292 Se
0.5047 0.0094 0.4540 Ru
0.9953 0.9904 0.0557 V
```


Quick look at relative energies in kJ/mol of atoms: *A* 9.4; *B* 0.0.


*A*
VRu3Se | PBE | optimized geometry

Summary:
The calculation puts the spin magnetization at 1.46 μB/cell.

The structure in POSCAR format:
```
VRu3Se
1.0
-4.3277 -0.2231 -1.1760
0.9901 -3.1466 -3.0464
-0.6727 -3.1954 3.0819
Se Ru V
1 3 1
direct
0.0000 0.0000 0.0000 Se
0.0000 0.0000 0.5000 Ru
0.0000 0.5000 0.0000 Ru
0.5000 0.0000 0.0000 Ru
0.5000 0.5000 0.5000 V
```


*B*
VRu3Se | PBE | optimized geometry

Summary:
The calculation puts the spin magnetization at 1.08 μB/cell.

The structure in POSCAR format:
```
VRu3Se
1.0
-0.9777 3.6083 2.4810
2.3619 -1.7061 3.4120
3.6874 2.0495 -1.5277
Ru V Se
3 1 1
direct
0.5000 0.0000 0.0000 Ru
0.0000 0.5000 0.0000 Ru
0.0000 0.0000 0.5000 Ru
0.0000 0.0000 0.0000 V
0.5000 0.5000 0.5000 Se
```


Quick look at relative energies in kJ/mol of atoms: *A* 0.0; *B* 24.2.


*A*
RuWSe2 | PBE | optimized geometry

Summary:
The calculation puts the spin magnetization at 0.00 μB/cell.

The structure in POSCAR format:
```
RuWSe2
1.0
4.9285 0.0180 0.0000
1.6499 4.6442 0.0000
-3.2892 -2.3311 2.8351
Se W Ru
2 1 1
direct
0.0000 0.0000 0.0000 Se
0.2500 0.7500 0.5000 Se
0.5000 0.5000 0.0000 W
0.7500 0.2500 0.5000 Ru
```


*B*
RuWSe2 | PBE | optimized geometry

Summary:
The calculation puts the spin magnetization at 1.28 μB/cell.

The structure in POSCAR format:
```
RuWSe2
1.0
-1.7490 5.2621 0.9692
-4.0907 -1.9723 3.3263
0.4408 1.9657 6.4709
W Ru Se
2 2 4
direct
0.0000 0.0000 0.0000 W
0.7500 0.2500 0.5000 W
0.5000 0.5000 0.0000 Ru
0.2500 0.7500 0.5000 Ru
0.1307 0.6250 0.2500 Se
0.6193 0.1250 0.2500 Se
0.3750 0.3807 0.7500 Se
0.8750 0.8693 0.7500 Se
```


Quick look at relative energies in kJ/mol of atoms: *A* 14.9; *B* 0.0.


*A*
RuWSe2 | PBE | optimized geometry

Summary:
The calculation puts the spin magnetization at 0.00 μB/cell.

The structure in POSCAR format:
```
RuWSe2
1.0
3.1454 0.0000 0.0000
0.0000 3.1454 0.0000
0.0000 0.0000 6.2851
Ru Se W
1 2 1
direct
0.5000 0.5000 0.7500 Ru
0.0000 0.0000 0.4944 Se
0.0000 0.0000 0.0056 Se
0.5000 0.5000 0.2500 W
```


*B*
RuWSe2 | PBE | optimized geometry

Summary:
The calculation puts the spin magnetization at 0.00 μB/cell.

The structure in POSCAR format:
```
RuWSe2
1.0
3.9702 0.0000 0.0000
0.0000 3.7310 0.0052
0.0000 -0.0010 6.2593
Ru W Se
1 1 2
direct
0.5000 0.8750 0.6276 Ru
0.0000 0.3750 0.6195 W
0.0000 0.8744 0.8896 Se
0.5000 0.3756 0.3632 Se
```


*C*
RuWSe2 | PBE | optimized geometry

Summary:
The calculation puts the spin magnetization at 0.00 μB/cell.

The structure in POSCAR format:
```
RuWSe2
1.0
-1.8275 1.2178 2.1434
-3.9275 0.3840 -3.5668
-3.8708 -3.3084 -1.4206
Se Ru W
2 1 1
direct
0.5000 0.5000 0.0000 Se
0.0000 0.0000 0.0000 Se
0.0000 0.0000 0.5000 Ru
0.5000 0.5000 0.5000 W
```


*D*
RuWSe2 | PBE | optimized geometry

Summary:
The calculation puts the spin magnetization at 0.00 μB/cell.

The structure in POSCAR format:
```
RuWSe2
1.0
-0.0335 -0.7747 2.9434
-1.4098 -5.0315 -1.3403
3.9739 -1.0517 -0.2316
W Se Ru
1 2 1
direct
0.5000 0.0000 0.5000 W
0.5000 0.5000 0.0000 Se
0.0000 0.0000 0.0000 Se
0.0000 0.5000 0.5000 Ru
```


Quick look at relative energies in kJ/mol of atoms: *A* 35.0; *B* 0.0; *C* 31.3; *D* 73.7.


*A*
RuWSe2 | PBE | optimized geometry

Summary:
The calculation puts the spin magnetization at 0.00 μB/cell.

The structure in POSCAR format:
```
RuWSe2
1.0
2.3808 -3.2995 1.7719
-0.5531 -1.0929 4.2654
-1.9693 -3.8297 1.0720
Se Ru W
2 1 1
direct
0.7500 0.7500 0.7500 Se
0.2500 0.2500 0.2500 Se
0.0000 0.0000 0.0000 Ru
0.5000 0.5000 0.5000 W
```


*B*
RuWSe2 | PBE | optimized geometry

Summary:
The calculation puts the spin magnetization at 0.00 μB/cell.

The structure in POSCAR format:
```
RuWSe2
1.0
-3.8067 -1.5090 2.9095
3.9271 -3.1043 -0.4176
1.3809 -0.9644 3.6724
Se Ru W
2 1 1
direct
0.0000 0.0000 0.0000 Se
0.5000 0.5000 0.0000 Se
0.0000 0.5000 0.5000 Ru
0.5000 0.0000 0.5000 W
```


Quick look at relative energies in kJ/mol of atoms: *A* 0.0; *B* 27.4.